SbP2Rh: optimized geometry, PBE.

The structure in extended XYZ format:
```
4
Lattice="6.665 0.271 -0.171 4.649 4.784 0.171 -5.675 -2.488 2.477" Properties=species:S:1:pos:R:3 pbc="T T T"
Sb 3.210 2.812 1.324
Rh 5.663 2.530 0.000
P 0.271 0.121 0.000
P 2.152 -0.368 1.153
```

Calculated values
The calculation puts the density at 6.28 Mg/m³. The calculation puts the final energy at -5.575 eV/atom.